No. 1
YCu5: relaxed, GGA-PBE.

Results
space group: Amm2
energy relative to the elements: 0.03 eV per formula unit
N(E_F): 1.82 states/eV/f.u.

Cell: 3.716 7.337 7.337 Å, 28.04 90.00 90.00°
Element x y z (fractional)
Y  0.000  0.000  0.000
Cu  0.000  0.327  0.327
Cu  0.000  0.699  0.699
Cu  0.500  0.202  0.202
Cu  0.500  0.584  0.584
Cu  0.500  0.830  0.830

***

No. 2
SrTlP2Cl: relaxed, GGA-PBE.

Results
formation energy from raw total energies: -84 meV/atom
space group: P4/mmm
energy above the lowest structure with this stoichiometry: 0 meV/atom
N(E_F): 2.61 states/eV/f.u.

Cell: 5.054 5.054 5.728 Å, 90.00 90.00 90.00°
Element x y z (fractional)
Sr  0.000  0.000  0.000
Tl  0.500  0.500  0.500
P  0.000  0.500  0.500
P  0.500  0.000  0.500
Cl  0.500  0.500  0.000

***

No. 3
MgBeFe2: relaxed, GGA-PBE.

Results
space group: P4/mmm
energy above the lowest structure with this stoichiometry: 0 meV/atom
energy relative to the elements: 0.28 eV per formula unit
N(E_F): 1.71 states/eV/f.u.

Cell: 2.610 2.610 7.082 Å, 90.00 90.00 90.00°
Element x y z (fractional)
Mg  0.000  0.000  0.000
Be  0.000  0.000  0.500
Fe  0.500  0.500  0.298
Fe  0.500  0.500  0.702

***

No. 4
YMo2Se: relaxed, GGA-PBE.

Results
formation energy from raw total energies: 111 meV/atom
space group: C2/m
N(E_F): 3.49 states/eV/f.u.

Cell: 6.023 6.023 3.459 Å, 106.51 106.51 126.21°
Element x y z (fractional)
Y  0.000  0.000  0.000
Mo  0.000  0.500  0.500
Mo  0.500  0.000  0.500
Se  0.500  0.500  0.000

***

No. 5
NaHgH2Pd: relaxed, GGA-PBE.

Results
space group: P4/mmm
calculated total energy: -2.0663 eV per atom
N(E_F): 1.22 states/eV/f.u.

Cell: 3.937 3.937 5.559 Å, 90.00 90.00 90.00°
Element x y z (fractional)
Na  0.000  0.000  0.000
Hg  0.500  0.500  0.500
H  0.000  0.500  0.000
H  0.500  0.000  0.000
Pd  0.000  0.000  0.500

***

No. 6
SrEuCuIr: relaxed, GGA-PBE.

Results
space group: F-43m
energy relative to the elements: -0.39 eV per formula unit
N(E_F): 12.44 states/eV/f.u.

Cell: 5.106 5.106 5.106 Å, 60.00 60.00 60.00°
Element x y z (fractional)
Sr  0.000  0.000  0.000
Eu  0.500  0.500  0.500
Cu  0.250  0.250  0.250
Ir  0.750  0.750  0.750

***

No. 7
LaSb2Au: relaxed, GGA-PBE.

Results
formation energy from raw total energies: -527 meV/atom
space group: Pm
N(E_F): 3.00 states/eV/f.u.

Cell: 4.108 4.440 6.566 Å, 90.00 107.27 90.00°
Element x y z (fractional)
La  0.000  0.000  0.000
Sb  0.252  0.000  0.523
Sb  0.610  0.500  0.235
Au  0.400  0.500  0.785

***

No. 8
Mg2ScRh3: relaxed, GGA-PBE.

Results
space group: P-3m1
energy above the lowest structure with this stoichiometry: 0 meV/atom
energy relative to the elements: -4.31 eV per formula unit
N(E_F): 2.45 states/eV/f.u.

Cell: 4.460 4.460 5.451 Å, 90.00 90.00 120.00°
Element x y z (fractional)
Mg  0.333  0.667  0.163
Mg  0.667  0.333  0.837
Sc  0.000  0.000  0.500
Rh  0.000  0.000  0.000
Rh  0.333  0.667  0.669
Rh  0.667  0.333  0.331

***

No. 9
Li3ScC: relaxed, GGA-PBE.

Results
space group: Pm-3m
energy above the lowest structure with this stoichiometry: 1737 meV/atom
energy relative to the elements: 11.20 eV per formula unit
N(E_F): 41.25 states/eV/f.u.

Cell: 5.429 5.429 5.429 Å, 90.00 90.00 90.00°
Element x y z (fractional)
Li  0.000  0.000  0.500
Li  0.000  0.500  0.000
Li  0.500  0.000  0.000
Sc  0.000  0.000  0.000
C  0.500  0.500  0.500

***

No. 10
CdH2Pd2: relaxed, GGA-PBE.

Results
space group: P4/mbm
energy above the lowest structure with this stoichiometry: 332 meV/atom
N(E_F): 1.27 states/eV/f.u.

Cell: 6.954 6.954 2.901 Å, 90.00 90.00 90.00°
Element x y z (fractional)
Cd  0.000  0.000  0.000
Cd  0.500  0.500  0.000
H  0.229  0.271  0.500
H  0.271  0.771  0.500
H  0.729  0.229  0.500
H  0.771  0.729  0.500
Pd  0.137  0.363  0.000
Pd  0.363  0.863  0.000
Pd  0.637  0.137  0.000
Pd  0.863  0.637  0.000

***

No. 11
MgTiInHg: relaxed, GGA-PBE.

Results
space group: F-43m
energy above the lowest structure with this stoichiometry: 123 meV/atom
energy relative to the elements: 0.04 eV per formula unit
N(E_F): 5.00 states/eV/f.u.

Cell: 4.873 4.873 4.873 Å, 60.00 60.00 60.00°
Element x y z (fractional)
Mg  0.000  0.000  0.000
Ti  0.500  0.500  0.500
In  0.750  0.750  0.750
Hg  0.250  0.250  0.250

***

No. 12
MnPbBr2: relaxed, GGA-PBE.

Results
formation energy from raw total energies: 73 meV/atom
space group: I4/mmm
energy above the lowest structure with this stoichiometry: 470 meV/atom
N(E_F): 2.78 states/eV/f.u.

Cell: 5.574 5.574 5.574 Å, 126.83 126.83 78.53°
Element x y z (fractional)
Mn  0.000  0.000  0.000
Pb  0.500  0.500  0.000
Br  0.250  0.750  0.500
Br  0.750  0.250  0.500

***

No. 13
MgPt2CI: relaxed, GGA-PBE.

Results
formation energy from raw total energies: 1585 meV/atom
space group: P4/mmm
N(E_F): 2.48 states/eV/f.u.

Cell: 5.084 5.084 4.184 Å, 90.00 90.00 90.00°
Element x y z (fractional)
Mg  0.000  0.000  0.000
Pt  0.000  0.500  0.500
Pt  0.500  0.000  0.500
C  0.500  0.500  0.000
I  0.500  0.500  0.500

***

No. 14
K2IrI2Cl4: relaxed, GGA-PBE.

Results
formation energy from raw total energies: -977 meV/atom
space group: I4/mmm
N(E_F): 8.38 states/eV/f.u.

Cell: 7.365 7.365 7.365 Å, 118.64 118.64 92.36°
Element x y z (fractional)
K  0.250  0.750  0.500
K  0.750  0.250  0.500
Ir  0.000  0.000  0.000
I  0.262  0.262  0.000
I  0.738  0.738  0.000
Cl  0.222  0.222  0.443
Cl  0.222  0.778  0.000
Cl  0.778  0.222  0.000
Cl  0.778  0.778  0.557

***

No. 15
PuSn6Pd12: relaxed, GGA-PBE.

Results
space group: R-3m
energy relative to the elements: -7.46 eV per formula unit
N(E_F): 27.14 states/eV/f.u.

Cell: 7.563 7.563 7.563 Å, 105.82 105.82 105.82°
Element x y z (fractional)
Pu  0.000  0.000  0.000
Sn  0.277  0.277  0.699
Sn  0.277  0.699  0.277
Sn  0.301  0.723  0.723
Sn  0.699  0.277  0.277
Sn  0.723  0.301  0.723
Sn  0.723  0.723  0.301
Pd  0.117  0.500  0.883
Pd  0.117  0.883  0.500
Pd  0.128  0.374  0.374
Pd  0.374  0.128  0.374
Pd  0.374  0.374  0.128
Pd  0.500  0.117  0.883
Pd  0.500  0.883  0.117
Pd  0.626  0.626  0.872
Pd  0.626  0.872  0.626
Pd  0.872  0.626  0.626
Pd  0.883  0.117  0.500
Pd  0.883  0.500  0.117

***

No. 16
BaZrIn2W: relaxed, GGA-PBE.

Results
space group: P4/mmm
energy relative to the elements: 3.47 eV per formula unit
N(E_F): 3.92 states/eV/f.u.

Cell: 5.682 5.682 4.972 Å, 90.00 90.00 90.00°
Element x y z (fractional)
Ba  0.000  0.000  0.000
Zr  0.500  0.500  0.500
In  0.000  0.500  0.500
In  0.500  0.000  0.500
W  0.500  0.500  0.000

***

No. 17
Mg3In2Cl8: relaxed, GGA-PBE.

Results
formation energy from raw total energies: -1528 meV/atom
space group: C2/m
N(E_F): 0.00 states/eV/f.u.

Cell: 8.689 8.689 6.522 Å, 105.51 105.51 51.69°
Element x y z (fractional)
Mg  0.000  0.000  0.000
Mg  0.256  0.744  0.500
Mg  0.744  0.256  0.500
In  0.280  0.280  0.841
In  0.720  0.720  0.159
Cl  0.092  0.092  0.396
Cl  0.138  0.677  0.113
Cl  0.323  0.862  0.887
Cl  0.401  0.401  0.555
Cl  0.599  0.599  0.445
Cl  0.677  0.138  0.113
Cl  0.862  0.323  0.887
Cl  0.908  0.908  0.604

***

No. 18
TmNpAlO6: relaxed, GGA-PBE.

Results
formation energy from raw total energies: -3046 meV/atom
space group: P-31c

Cell: 5.227 5.227 9.641 Å, 90.00 90.00 120.00°
Element x y z (fractional)
Tm  0.000  0.000  0.000
Tm  0.000  0.000  0.500
Np  0.333  0.667  0.250
Np  0.667  0.333  0.750
Al  0.333  0.667  0.750
Al  0.667  0.333  0.250
O  0.020  0.361  0.639
O  0.020  0.658  0.861
O  0.342  0.361  0.861
O  0.342  0.980  0.639
O  0.361  0.020  0.139
O  0.361  0.342  0.361
O  0.639  0.658  0.639
O  0.639  0.980  0.861
O  0.658  0.020  0.361
O  0.658  0.639  0.139
O  0.980  0.342  0.139
O  0.980  0.639  0.361